# Mg2SiSe

A geometry-optimized Mg2SiSe structure (PBE, the Alexandria database).

- ΔE_f (raw): -0.86 eV per formula unit
- E above lowest polymorph: 190 meV per atom
- Crystal system: tetragonal
- ρ: 3.313 g/cm3

```
4
Lattice="3.295 0.000 0.000 0.000 3.295 0.000 0.000 0.000 7.186" Properties=species:S:1:pos:R:3 pbc="T T T"
Mg 0.000 0.000 1.740
Mg 0.000 0.000 5.447
Si 1.648 1.648 3.593
Se 1.648 1.648 0.000
```